[1]
Ac4Cd3Pb: relaxed, PBE-GGA.

calculated formation energy = -308 meV/atom
V = 285.4 Å³/f.u.
total magnetic moment = 0.123 μB/f.u.

a b c (Å): 4.4382 4.9921 12.8796
angles (deg): 90.00 90.00 90.00
Last column: nearest neighbours and their distance in Å.
Space group Pmm2 (No. 25)
One atom of each set of equivalent atoms:
Ac 0.0000 0.0000 0.0000  6 Cd 3.47-3.56, 1 Pb 3.57
Ac 0.0000 0.5000 0.2947  7 Cd 3.49-3.61
Ac 0.5000 0.0000 0.4953  5 Cd 3.47-3.59, 2 Pb 3.68
Ac 0.5000 0.5000 0.7915  4 Pb 3.45, 3 Cd 3.62-3.63
Cd 0.0000 0.5000 0.5695  2 Pb 3.18, 5 Ac 3.47-3.54
Cd 0.5000 0.0000 0.2162  2 Cd 3.10
Cd 0.5000 0.5000 0.0733  2 Cd 3.10, 4 Ac 3.47
Pb 0.0000 0.0000 0.7230  2 Cd 3.18, 4 Ac 3.45

[2]
U2MnZn16: relaxed, PBE-GGA.

calculated formation energy = -14 meV/atom
V = 305.5 Å³/f.u.
total magnetic moment = 9.081 μB/f.u.

a b c (Å): 8.9661 8.9661 13.1645
angles (deg): 90.00 90.00 120.00
Last column: nearest neighbours and their distance in Å.
Space group R3m (No. 160, hexagonal axes)
One atom of each set of equivalent atoms:
U 0.0000 0.0000 0.0000  1 Mn 3.12, 15 Zn 3.15-3.40
U 0.0000 0.0000 0.3227  19 Zn 3.11-3.47
Mn 0.0000 0.0000 0.7629  13 Zn 2.68-2.92
Zn 0.0000 0.0000 0.5592  1 Mn 2.68, 12 Zn 2.72-2.97
Zn 0.9998 0.2920 0.6648  8 Zn 2.57-2.79
Zn 0.0137 0.5068 0.8141  8 Zn 2.58-2.79
Zn 0.1669 0.3339 0.8487  8 Zn 2.58-2.77, 1 Mn 2.83
Zn 0.1675 0.3349 0.4975  9 Zn 2.57-2.72, 1 Mn 2.73

[3]
LiTl2CdHg6: relaxed, PBE-GGA.

calculated formation energy = -54 meV/atom
V = 265.9 Å³/f.u.
total magnetic moment = 0.000 μB/f.u.

a b c (Å): 5.7898 6.8295 7.1264
angles (deg): 75.74 77.97 81.88
Last column: nearest neighbours and their distance in Å.
Space group P-1 (No. 2)
One atom of each set of equivalent atoms:
Li 0.0000 0.0000 0.0000  6 Hg 2.72-2.98
Tl 0.2656 0.1000 0.3873  6 Hg 3.24-3.59, 2 Tl 3.39-3.46, 1 Cd 3.54
Cd 0.5000 0.5000 0.5000  6 Hg 3.01-3.16
Hg 0.0549 0.6417 0.2904  1 Li 2.82, 1 Hg 3.13
Hg 0.2076 0.6947 0.8193  1 Li 2.72, 1 Cd 3.01
Hg 0.4255 0.2282 0.9141  1 Li 2.98, 1 Cd 3.06, 5 Hg 3.12-3.32, 1 Tl 3.24

[4]
TaCrNi2: relaxed, PBE-GGA.

calculated formation energy = 47 meV/atom
V = 51.8 Å³/f.u.
total magnetic moment = 0.000 μB/f.u.

a b c (Å): 3.7351 3.7848 7.3222
angles (deg): 90.00 90.00 90.00
Last column: nearest neighbours and their distance in Å.
Space group Cmm2 (No. 35)
One atom of each set of equivalent atoms:
Ta 0.0000 0.0000 0.0000  4 Ta 2.66, 4 Ni 2.68-2.70, 4 Cr 2.84-2.86
Cr 0.0000 0.5000 0.2930  4 Ni 2.46-2.48, 4 Cr 2.66
Ni 0.0000 0.0000 0.5112  4 Cr 2.46-2.48, 8 Ni 2.50-2.66
Ni 0.0000 0.5000 0.7379  8 Ni 2.50-2.66, 4 Ta 2.68-2.70